# 1
A plane-wave DFT calculation with PBE was carried out for a geometry-optimized NaLiInTe3 structure.

Computed properties:
- E (eV/atom) = -3.148
- formation energy without anion corrections (kJ/mol of formula units) = -337
- crystal system = monoclinic
- V (Å³/cell) = 367

Cell: 4.7345 6.6560 11.9793 Å, 103.68 90.00 90.00°
Last column: nearest neighbours and their distance in Å.
Positions (direct):
1 Na 0.2500 0.2681 0.2774  5 Te 3.15-3.31
2 Na 0.7500 0.7319 0.7226  5 Te 3.15-3.31
3 Li 0.2500 0.6517 0.0892  5 Te 2.84-3.05
4 Li 0.7500 0.3483 0.9108  5 Te 2.84-3.05
5 In 0.2500 0.1579 0.6338  4 Te 2.82-3.12
6 In 0.7500 0.8421 0.3662  4 Te 2.82-3.12
7 Te 0.7500 0.9468 0.1512  1 In 2.82, 2 Li 3.05
8 Te 0.2500 0.0532 0.8488  1 In 2.82, 2 Li 3.05
9 Te 0.2500 0.7168 0.4698  3 In 2.89-3.12
10 Te 0.7500 0.2832 0.5302  3 In 2.89-3.12
11 Te 0.7500 0.4425 0.1544  3 Li 2.84-2.94, 2 Na 3.15
12 Te 0.2500 0.5575 0.8456  3 Li 2.84-2.94, 2 Na 3.15



# 2
A plane-wave DFT calculation with PBE was carried out for a geometry-optimized CsTa2Se structure.

Computed properties:
- E (eV/atom) = -6.021
- formation energy without anion corrections (kJ/mol of formula units) = 382
- crystal system = tetragonal
- V (Å³/cell) = 233

Cell: 4.9469 4.9469 10.1465 Å, 75.89 75.89 90.00°
Last column: nearest neighbours and their distance in Å.
Positions (direct):
1 Cs 0.0000 0.0000 0.0000  4 Ta 3.41, 4 Se 3.50
2 Cs 0.7500 0.2500 0.5000  4 Ta 3.41, 4 Se 3.50
3 Se 0.5000 0.5000 0.0000  4 Ta 2.71
4 Se 0.2500 0.7500 0.5000  4 Ta 2.71
5 Ta 0.3002 0.1250 0.2500  2 Ta 2.58, 2 Se 2.71
6 Ta 0.4498 0.6250 0.2500  2 Ta 2.58, 2 Se 2.71
7 Ta 0.3750 0.6998 0.7500  2 Ta 2.58, 2 Se 2.71
8 Ta 0.8750 0.5502 0.7500  2 Ta 2.58, 2 Se 2.71



# 3
A plane-wave DFT calculation with PBE was carried out for a geometry-optimized HoAl3NiPd structure.

Computed properties:
- E (eV/atom) = -5.013
- crystal system = orthorhombic
- formation energy from the elements (meV/atom) = -550
- V (Å³/cell) = 210

Cell: 5.6384 6.0836 6.8398 Å, 116.41 90.00 90.00°
Last column: nearest neighbours and their distance in Å.
Positions (direct):
1 Ho 0.7500 0.2768 0.5537  1 Ni 2.57
2 Ho 0.2500 0.7232 0.4463  1 Ni 2.57
3 Al 0.2500 0.1394 0.2788  1 Ni 2.53, 1 Pd 2.58, 4 Al 2.82
4 Al 0.0000 0.2863 0.0000  2 Ni 2.39, 1 Al 2.60, 2 Pd 2.65
5 Al 0.5000 0.7137 0.0000  2 Ni 2.39, 1 Al 2.60, 2 Pd 2.65
6 Al 0.5000 0.2863 0.0000  2 Ni 2.39, 1 Al 2.60, 2 Pd 2.65
7 Al 0.0000 0.7137 0.0000  2 Ni 2.39, 1 Al 2.60, 2 Pd 2.65
8 Al 0.7500 0.8606 0.7212  1 Ni 2.53, 1 Pd 2.58, 4 Al 2.82
9 Ni 0.2500 0.9326 0.8651  5 Al 2.39-2.53, 1 Ho 2.57
10 Ni 0.7500 0.0674 0.1349  5 Al 2.39-2.53, 1 Ho 2.57
11 Pd 0.2500 0.3502 0.7004  5 Al 2.58-2.65
12 Pd 0.7500 0.6498 0.2997  5 Al 2.58-2.65



# 4
A plane-wave DFT calculation with PBE was carried out for a geometry-optimized FeAu structure.

Computed properties:
- E (eV/atom) = -5.398
- crystal system = tetragonal
- formation energy from the elements (meV/atom) = 472
- V (Å³/cell) = 138

Cell: 5.1377 5.1377 5.2415 Å, 90.00 90.00 90.00°
Last column: nearest neighbours and their distance in Å.
Positions (direct):
1 Fe 0.3237 0.6763 0.0000  1 Fe 2.56, 6 Au 2.60-2.72
2 Fe 0.8237 0.8237 0.5000  1 Fe 2.56, 6 Au 2.60-2.72
3 Fe 0.1763 0.1763 0.5000  1 Fe 2.56, 6 Au 2.60-2.72
4 Fe 0.6763 0.3237 0.0000  1 Fe 2.56, 6 Au 2.60-2.72
5 Au 0.1880 0.1880 0.0000  6 Fe 2.60-2.72, 1 Au 2.73
6 Au 0.6880 0.3120 0.5000  6 Fe 2.60-2.72, 1 Au 2.73
7 Au 0.3120 0.6880 0.5000  6 Fe 2.60-2.72, 1 Au 2.73
8 Au 0.8120 0.8120 0.0000  6 Fe 2.60-2.72, 1 Au 2.73



# 5
A plane-wave DFT calculation with PBE was carried out for a geometry-optimized HoScRh structure.

Computed properties:
- E (eV/atom) = -6.780
- crystal system = orthorhombic
- E above lowest polymorph (eV/atom) = 0.0000
- formation energy from the elements (meV/atom) = -693
- V (Å³/cell) = 392

Cell: 7.0888 8.9987 8.4022 Å, 122.38 114.95 90.00°
Last column: nearest neighbours and their distance in Å.
Positions (direct):
1 Ho 0.7534 0.0445 0.5890  5 Rh 2.91-3.11, 2 Sc 3.26
2 Ho 0.1644 0.9555 0.4110  5 Rh 2.91-3.11, 2 Sc 3.26
3 Ho 0.3425 0.7501 0.0002  5 Rh 2.91-3.11, 2 Sc 3.26
4 Ho 0.3422 0.2499 0.9998  5 Rh 2.91-3.11, 2 Sc 3.26
5 Ho 0.1644 0.4554 0.4107  5 Rh 2.92-3.11, 2 Sc 3.26
6 Ho 0.7537 0.5446 0.5893  5 Rh 2.92-3.11, 2 Sc 3.26
7 Sc 0.0098 0.0000 0.0000  4 Rh 2.68-2.89
8 Sc 0.0098 0.5000 0.0000  4 Rh 2.68-2.89
9 Sc 0.4970 0.3721 0.7439  4 Rh 2.68-2.89
10 Sc 0.7531 0.6279 0.2561  4 Rh 2.68-2.89
11 Sc 0.7531 0.1282 0.2561  4 Rh 2.68-2.89
12 Sc 0.4970 0.8718 0.7439  4 Rh 2.68-2.89
13 Rh 0.7533 0.2498 0.9997  6 Sc 2.89, 3 Ho 2.91-2.92
14 Rh 0.7536 0.7502 0.0003  6 Sc 2.89, 3 Ho 2.91-2.92
15 Rh 0.4198 0.1670 0.3335  3 Sc 2.68
16 Rh 0.0863 0.8330 0.6665  3 Sc 2.68
17 Rh 0.0863 0.3335 0.6665  3 Sc 2.68
18 Rh 0.4198 0.6665 0.3335  3 Sc 2.68



# 6
A plane-wave DFT calculation with PBE was carried out for a geometry-optimized CePrIr2 structure.

Computed properties:
- E (eV/atom) = -7.722
- crystal system = tetragonal
- E above lowest polymorph (eV/atom) = 0.0776
- formation energy from the elements (meV/atom) = -613
- V (Å³/cell) = 88

Cell: 3.5191 3.5191 7.1412 Å, 90.00 90.00 90.00°
Last column: nearest neighbours and their distance in Å.
Positions (direct):
1 Pr 0.5000 0.5000 0.5000  8 Ir 3.18, 4 Pr 3.52
2 Ir 0.0000 0.0000 0.7779  4 Ce 2.95, 1 Ir 3.17, 4 Pr 3.18
3 Ir 0.0000 0.0000 0.2221  4 Ce 2.95, 1 Ir 3.17, 4 Pr 3.18
4 Ce 0.5000 0.5000 0.0000  8 Ir 2.95



# 7
A plane-wave DFT calculation with PBE was carried out for a geometry-optimized Ga3SnCl structure.

Computed properties:
- E (eV/atom) = -2.726
- formation energy without anion corrections (kJ/mol of formula units) = 125
- crystal system = cubic
- E above lowest polymorph (eV/atom) = 0.0230
- V (Å³/cell) = 142

Cell: 5.2143 5.2143 5.2143 Å, 90.00 90.00 90.00°
Last column: nearest neighbours and their distance in Å.
Positions (direct):
1 Sn 0.5000 0.5000 0.5000  12 Ga 3.69
2 Ga 0.0000 0.5000 0.0000  2 Cl 2.61
3 Ga 0.0000 0.0000 0.5000  2 Cl 2.61
4 Ga 0.5000 0.0000 0.0000  2 Cl 2.61
5 Cl 0.0000 0.0000 0.0000  6 Ga 2.61



# 8
A plane-wave DFT calculation with PBE was carried out for a geometry-optimized K2UTeSe6 structure.

Computed properties:
- E (eV/atom) = -4.421
- formation energy without anion corrections (kJ/mol of formula units) = -644
- crystal system = monoclinic
- V (Å³/cell) = 328

Cell: 6.5090 6.9641 8.1122 Å, 115.42 98.47 90.00°
Last column: nearest neighbours and their distance in Å.
Positions (direct):
1 K 0.2392 0.2064 0.4128  7 Se 3.47-3.61, 1 Te 3.70
2 K 0.7608 0.7936 0.5872  7 Se 3.47-3.61, 1 Te 3.70
3 U 0.0000 0.5000 0.0000  6 Se 2.60-2.73
4 Te 0.5000 0.0000 0.0000  4 Se 2.76
5 Se 0.2855 0.6466 0.2933  1 U 2.60
6 Se 0.2016 0.1477 0.8115  1 U 2.73, 1 Te 2.76
7 Se 0.7984 0.3362 0.1885  1 U 2.73, 1 Te 2.76
8 Se 0.2016 0.6638 0.8115  1 U 2.73, 1 Te 2.76
9 Se 0.7984 0.8523 0.1885  1 U 2.73, 1 Te 2.76
10 Se 0.7145 0.3534 0.7067  1 U 2.60



# 9
A plane-wave DFT calculation with PBE was carried out for a geometry-optimized Ni2AsH structure.

Computed properties:
- E (eV/atom) = -4.938
- crystal system = tetragonal
- E above lowest polymorph (eV/atom) = 0.0787
- V (Å³/cell) = 90

Cell: 4.6179 4.6179 5.3303 Å, 64.33 64.33 90.00°
Last column: nearest neighbours and their distance in Å.
Positions (direct):
1 Ni 0.5016 0.1250 0.2500  2 H 1.67
2 Ni 0.2484 0.6250 0.2500  2 H 1.67
3 Ni 0.3750 0.4984 0.7500  2 H 1.67
4 Ni 0.8750 0.7516 0.7500  2 H 1.67
5 As 0.0000 0.0000 0.0000  4 Ni 2.33
6 As 0.7500 0.2500 0.5000  4 Ni 2.33
7 H 0.5000 0.5000 0.0000  4 Ni 1.67
8 H 0.2500 0.7500 0.5000  4 Ni 1.67



# 10
A plane-wave DFT calculation with PBE was carried out for a geometry-optimized RbHfMo2Se structure.

Computed properties:
- E (eV/atom) = -4.342
- formation energy without anion corrections (kJ/mol of formula units) = 1385
- crystal system = tetragonal
- V (Å³/cell) = 113

Cell: 4.6993 5.0996 4.6993 Å, 90.00 90.00 90.00°
Last column: nearest neighbours and their distance in Å.
Positions (direct):
1 Mo 0.0000 0.0000 0.5000  2 Rb 2.35
2 Mo 0.5000 0.0000 0.0000  2 Rb 2.35
3 Hf 0.0000 0.5000 0.0000  2 Rb 2.55
4 Se 0.5000 0.5000 0.5000  4 Hf 3.32, 8 Mo 3.47
5 Rb 0.0000 0.0000 0.0000  4 Mo 2.35, 2 Hf 2.55